No. 1
This record from Alexandria describes crystalline Li2CePuSe4 at its relaxed geometry. The functional is PBE-GGA.

Cell lengths 4.1736, 7.2192, 6.8949 Å; angles 110.44, 90.00, 90.00 degrees
Closest atoms and distances in Å follow each position.
Atoms (fractional coordinates):
Se  0.5000  0.2533  0.2583  3 Li 2.87, 1 Pu 2.93, 2 Ce 2.93
Li  0.0000  0.5000  0.5000  6 Se 2.87
Ce  0.0000  0.0000  0.0000  6 Se 2.93
Li  0.5000  0.0000  0.5000  6 Se 2.87-2.89
Se  0.0000  0.7501  0.2548  3 Li 2.87-2.89, 2 Pu 2.91, 1 Ce 2.93
Se  0.5000  0.7467  0.7417  3 Li 2.87, 1 Pu 2.93, 2 Ce 2.93
Pu  0.5000  0.5000  0.0000  6 Se 2.91-2.93
Se  0.0000  0.2499  0.7452  3 Li 2.87-2.89, 2 Pu 2.91, 1 Ce 2.93

Output
The calculation puts the uncorrected formation energy at -1.5072 eV/atom. As for the total energy: -50.09 eV for the cell shown. For the density of states at the Fermi level, the calculation gives 2.071 states/eV/atom.


No. 2
This record from Alexandria describes crystalline Li4Ce3PuSe8 at its relaxed geometry. The functional is PBE-GGA.

Cell lengths 8.3905, 8.0853, 8.3857 Å; angles 121.26, 120.02, 90.00 degrees
Closest atoms and distances in Å follow each position.
Atoms (fractional coordinates):
Ce  0.5000  0.5000  0.5000  6 Se 2.94-2.95
Se  0.2464  0.2398  0.4928  3 Li 2.87-2.88, 3 Ce 2.95
Li  0.5000  0.0000  0.5000  6 Se 2.88-2.89
Se  0.2467  0.2429  0.9946  3 Li 2.88-2.89, 1 Pu 2.93, 2 Ce 2.94
Ce  0.5000  0.5000  0.0000  6 Se 2.94-2.95
Pu  0.0000  0.5000  0.0000  6 Se 2.93
Li  0.0000  0.0000  0.0000  6 Se 2.87-2.89
Ce  0.0000  0.5000  0.5000  6 Se 2.94-2.95
Se  0.2521  0.7571  0.0054  3 Li 2.88-2.89, 1 Pu 2.93, 2 Ce 2.94
Se  0.7533  0.7571  0.0054  3 Li 2.88-2.89, 1 Pu 2.93, 2 Ce 2.94
Se  0.7479  0.2429  0.9946  3 Li 2.88-2.89, 1 Pu 2.93, 2 Ce 2.94
Se  0.7536  0.7602  0.5072  3 Li 2.87-2.88, 3 Ce 2.95
Li  0.0000  0.0000  0.5000  6 Se 2.88-2.89
Se  0.7479  0.2429  0.4958  3 Li 2.89, 1 Pu 2.93, 2 Ce 2.94
Se  0.2521  0.7571  0.5042  3 Li 2.89, 1 Pu 2.93, 2 Ce 2.94
Li  0.5000  0.0000  0.0000  6 Se 2.89

Output
The calculation puts the uncorrected formation energy at -1.5546 eV/atom. As for the total energy: -92.54 eV for the cell shown. For the density of states at the Fermi level, the calculation gives 1.826 states/eV/atom.


No. 3
This record from Alexandria describes crystalline Li3Ce2PuSe6 at its relaxed geometry. The functional is PBE-GGA.

Cell lengths 7.2518, 7.2518, 6.9057 Å; angles 100.08, 100.08, 120.00 degrees
Closest atoms and distances in Å follow each position.
Atoms (fractional coordinates):
Se  0.0859  0.4181  0.2575  3 Li 2.88-2.90, 1 Pu 2.93, 2 Ce 2.94
Se  0.7533  0.7533  0.2573  3 Li 2.86-2.89, 1 Pu 2.93, 2 Ce 2.94
Se  0.4181  0.0859  0.2575  3 Li 2.88-2.90, 1 Pu 2.93, 2 Ce 2.94
Se  0.2467  0.2467  0.7427  3 Li 2.86-2.89, 1 Pu 2.93, 2 Ce 2.94
Ce  0.3332  0.6668  0.0000  6 Se 2.94
Se  0.9141  0.5819  0.7425  3 Li 2.88-2.90, 1 Pu 2.93, 2 Ce 2.94
Li  0.8351  0.1649  0.5000  6 Se 2.86-2.90
Se  0.5819  0.9141  0.7425  3 Li 2.88-2.90, 1 Pu 2.93, 2 Ce 2.94
Li  0.5000  0.5000  0.5000  6 Se 2.88-2.89
Li  0.1649  0.8351  0.5000  6 Se 2.86-2.90
Pu  0.0000  0.0000  0.0000  6 Se 2.93
Ce  0.6668  0.3332  0.0000  6 Se 2.94

Output
The calculation puts the uncorrected formation energy at -1.5389 eV/atom. As for the total energy: -71.31 eV for the cell shown. For the density of states at the Fermi level, the calculation gives 1.947 states/eV/atom.


No. 4
This record from Alexandria describes crystalline LiCe2Pu3Se6 at its relaxed geometry. The functional is PBE-GGA.

Cell lengths 4.1609, 8.3164, 9.2773 Å; angles 102.88, 102.96, 90.00 degrees
Closest atoms and distances in Å follow each position.
Atoms (fractional coordinates):
Se  0.6655  0.5862  0.3310  3 Pu 2.91-2.92, 3 Ce 2.98-2.99
Se  0.3345  0.4138  0.6690  3 Pu 2.91-2.92, 3 Ce 2.98-2.99
Se  0.6638  0.0767  0.3277  1 Li 2.88, 3 Pu 2.92-2.97, 2 Ce 2.96
Ce  0.1646  0.3297  0.3292  6 Se 2.93-2.99
Se  0.0017  0.7551  0.0033  2 Li 2.92, 3 Pu 2.92-2.97, 1 Ce 2.93
Se  0.9983  0.2449  0.9967  2 Li 2.92, 3 Pu 2.92-2.97, 1 Ce 2.93
Pu  0.1674  0.8328  0.3348  6 Se 2.92-2.97
Pu  0.8326  0.1672  0.6652  6 Se 2.92-2.97
Ce  0.8354  0.6703  0.6708  6 Se 2.93-2.99
Se  0.3362  0.9233  0.6723  1 Li 2.88, 3 Pu 2.92-2.97, 2 Ce 2.96
Li  0.5000  0.0000  0.0000  6 Se 2.88-2.92
Pu  0.5000  0.5000  0.0000  6 Se 2.91-2.97

Output
The calculation puts the uncorrected formation energy at -1.6004 eV/atom. As for the total energy: -96.89 eV for the cell shown. For the density of states at the Fermi level, the calculation gives 2.670 states/eV/atom.


No. 5
This record from Alexandria describes crystalline Li3Ce3PuSe8 at its relaxed geometry. The functional is PBE-GGA.

Cell lengths 8.4439, 8.4435, 8.0490 Å; angles 121.64, 90.00, 120.00 degrees
Closest atoms and distances in Å follow each position.
Atoms (fractional coordinates):
Se  0.7518  0.5037  0.2509  1 Pu 2.89, 2 Li 2.91, 2 Ce 2.92
Se  0.2482  0.4963  0.7491  1 Pu 2.89, 2 Li 2.91, 2 Ce 2.92
Ce  0.0000  0.5000  0.5000  6 Se 2.92-2.95
Se  0.7532  0.5064  0.7595  3 Li 2.88, 3 Ce 2.95
Ce  0.5000  0.0000  0.5000  6 Se 2.92-2.95
Se  0.7529  0.0011  0.7491  1 Pu 2.89, 2 Li 2.91, 2 Ce 2.92
Se  0.2471  0.9989  0.2509  1 Pu 2.89, 2 Li 2.91, 2 Ce 2.92
Se  0.2482  0.0011  0.7491  1 Pu 2.89, 2 Li 2.91, 2 Ce 2.92
Li  0.5000  0.5000  0.0000  6 Se 2.88-2.91
Se  0.2468  0.4936  0.2405  3 Li 2.88, 3 Ce 2.95
Li  0.0000  0.0000  0.0000  6 Se 2.88-2.91
Ce  0.5000  0.5000  0.5000  6 Se 2.92-2.95
Se  0.7518  0.9989  0.2509  1 Pu 2.89, 2 Li 2.91, 2 Ce 2.92
Li  0.0000  0.5000  0.0000  6 Se 2.88-2.91
Pu  0.0000  0.0000  0.5000  6 Se 2.89

Output
The calculation puts the uncorrected formation energy at -1.5421 eV/atom. As for the total energy: -88.88 eV for the cell shown. For the density of states at the Fermi level, the calculation gives 1.846 states/eV/atom.


No. 6
This record from Alexandria describes crystalline Li3CePu2Se6 at its relaxed geometry. The functional is PBE-GGA.

Cell lengths 7.2016, 7.2016, 6.8802 Å; angles 100.05, 100.05, 119.99 degrees
Closest atoms and distances in Å follow each position.
Atoms (fractional coordinates):
Pu  0.6665  0.3335  0.0000  6 Se 2.90-2.91
Se  0.5794  0.9148  0.7446  3 Li 2.84-2.88, 2 Pu 2.90-2.91, 1 Ce 2.92
Se  0.7499  0.7499  0.2563  3 Li 2.86-2.89, 2 Pu 2.91, 1 Ce 2.93
Li  0.5000  0.5000  0.5000  6 Se 2.86-2.88
Ce  0.0000  0.0000  0.0000  6 Se 2.92-2.93
Pu  0.3335  0.6665  0.0000  6 Se 2.90-2.91
Li  0.8313  0.1687  0.5000  6 Se 2.84-2.89
Se  0.4206  0.0852  0.2554  3 Li 2.84-2.88, 2 Pu 2.90-2.91, 1 Ce 2.92
Se  0.0852  0.4206  0.2554  3 Li 2.84-2.88, 2 Pu 2.90-2.91, 1 Ce 2.92
Se  0.9148  0.5794  0.7446  3 Li 2.84-2.88, 2 Pu 2.90-2.91, 1 Ce 2.92
Se  0.2501  0.2501  0.7437  3 Li 2.86-2.89, 2 Pu 2.91, 1 Ce 2.93
Li  0.1687  0.8313  0.5000  6 Se 2.84-2.89

Output
The calculation puts the uncorrected formation energy at -1.4729 eV/atom. As for the total energy: -78.92 eV for the cell shown. For the density of states at the Fermi level, the calculation gives 2.315 states/eV/atom.


No. 7
This record from Alexandria describes crystalline LiCePuSi at its relaxed geometry. The functional is PBE-GGA.

Cell lengths 5.0216, 5.0216, 5.0216 Å; angles 60.00, 60.00, 60.00 degrees
Closest atoms and distances in Å follow each position.
Atoms (fractional coordinates):
Ce  0.5000  0.5000  0.5000  4 Si 3.08, 4 Li 3.08
Pu  0.0000  0.0000  0.0000  4 Li 3.08, 4 Si 3.08
Li  0.2500  0.2500  0.2500  4 Ce 3.08, 4 Pu 3.08
Si  0.7500  0.7500  0.7500  4 Ce 3.08, 4 Pu 3.08

Output
The calculation puts the uncorrected formation energy at -0.1090 eV/atom. As for the total energy: -28.04 eV for the cell shown. For the density of states at the Fermi level, the calculation gives 2.784 states/eV/atom.


No. 8
This record from Alexandria describes crystalline Li2Ce2PuSn2 at its relaxed geometry. The functional is PBE-GGA.

Cell lengths 4.9983, 4.9983, 8.7072 Å; angles 73.32, 73.32, 60.00 degrees
Closest atoms and distances in Å follow each position.
Atoms (fractional coordinates):
Li  0.3916  0.3916  0.8253  4 Sn 2.90-3.11, 3 Pu 3.22
Sn  0.7346  0.7346  0.7963  4 Li 2.90-3.11, 3 Ce 3.22
Ce  0.1260  0.1260  0.6221  1 Pu 3.10, 4 Sn 3.22-3.44, 3 Li 3.33
Li  0.6084  0.6084  0.1747  4 Sn 2.90-3.11, 3 Pu 3.22
Ce  0.8740  0.8740  0.3779  1 Pu 3.10, 4 Sn 3.22-3.44, 3 Li 3.33
Sn  0.2654  0.2654  0.2037  4 Li 2.90-3.11, 3 Ce 3.22
Pu  0.0000  0.0000  0.0000  2 Ce 3.10, 6 Li 3.22, 6 Sn 3.34

Output
As for the total energy: -40.17 eV for the cell shown. For the density of states at the Fermi level, the calculation gives 2.374 states/eV/atom. The formation energy comes out at -305 meV per atom.


No. 9
This record from Alexandria describes crystalline LiCePuSn at its relaxed geometry. The functional is PBE-GGA.

Cell lengths 5.1555, 5.1555, 5.1555 Å; angles 60.00, 60.00, 60.00 degrees
Closest atoms and distances in Å follow each position.
Atoms (fractional coordinates):
Li  0.7500  0.7500  0.7500  4 Ce 3.16, 4 Sn 3.16
Ce  0.5000  0.5000  0.5000  4 Li 3.16, 4 Pu 3.16
Pu  0.2500  0.2500  0.2500  4 Ce 3.16, 4 Sn 3.16
Sn  0.0000  0.0000  0.0000  4 Li 3.16, 4 Pu 3.16

Output
As for the total energy: -26.85 eV for the cell shown. For the density of states at the Fermi level, the calculation gives 2.131 states/eV/atom. The formation energy comes out at -166 meV per atom.


No. 10
This record from Alexandria describes crystalline LiCePuTc at its relaxed geometry. The functional is PBE-GGA.

Cell lengths 4.9045, 4.9045, 4.9045 Å; angles 60.00, 60.00, 60.00 degrees
Closest atoms and distances in Å follow each position.
Atoms (fractional coordinates):
Tc  0.5000  0.5000  0.5000  4 Ce 3.00, 4 Pu 3.00
Ce  0.2500  0.2500  0.2500  4 Li 3.00, 4 Tc 3.00
Li  0.0000  0.0000  0.0000  4 Pu 3.00, 4 Ce 3.00
Pu  0.7500  0.7500  0.7500  4 Tc 3.00, 4 Li 3.00

Output
As for the total energy: -32.05 eV for the cell shown. For the density of states at the Fermi level, the calculation gives 2.689 states/eV/atom. The formation energy comes out at 123 meV per atom.


No. 11
This record from Alexandria describes crystalline LiCe2PuTe4 at its relaxed geometry. The functional is PBE-GGA.

Cell lengths 4.4580, 7.7003, 7.7094 Å; angles 70.18, 90.00, 90.00 degrees
Closest atoms and distances in Å follow each position.
Atoms (fractional coordinates):
Te  0.5000  0.7406  0.2477  1 Li 3.08, 2 Pu 3.12, 3 Ce 3.17-3.23
Pu  0.0000  0.5000  0.5000  6 Te 3.12-3.14
Te  0.0000  0.7379  0.7604  2 Li 3.07, 1 Pu 3.14, 3 Ce 3.16-3.21
Ce  0.0000  0.0000  0.0000  6 Te 3.16-3.17
Ce  0.5000  0.0000  0.5000  6 Te 3.21-3.23
Te  0.5000  0.2594  0.7523  1 Li 3.08, 2 Pu 3.12, 3 Ce 3.17-3.23
Te  0.0000  0.2621  0.2396  2 Li 3.07, 1 Pu 3.14, 3 Ce 3.16-3.21
Li  0.5000  0.5000  0.0000  6 Te 3.07-3.08

Output
The calculation puts the uncorrected formation energy at -1.2167 eV/atom. As for the total energy: -50.41 eV for the cell shown. For the density of states at the Fermi level, the calculation gives 3.275 states/eV/atom.